Record 1
## K2TaCd (PBE)

Data for crystalline K2TaCd at its relaxed geometry.

Unit cell a=2.942 b=4.600 c=10.508 alpha=90.00 beta=90.41 gamma=90.00
Space group Pm (No. 6)
Inequivalent atoms, fractional coordinates:
K (0.000, 0.000, 0.000) (multiplicity 1)
K (0.490, 0.500, 0.399) (multiplicity 1)
Ta (0.493, 0.500, 0.739) (multiplicity 1)
Cd (0.991, 0.000, 0.640) (multiplicity 1)

Calculated values
energy of formation from the pure elements	0.77	eV/atom


Record 2
## DyCuIr (PBE)

Data for crystalline DyCuIr at its relaxed geometry.

Unit cell a=4.2969 b=4.2969 c=3.5281 alpha=90.00 beta=90.00 gamma=120.00
Space group P-6m2 (No. 187)
Inequivalent atoms, fractional coordinates:
Dy (0.0000, 0.0000, 0.0000) (multiplicity 1)
Cu (0.3333, 0.6667, 0.5000) (multiplicity 1)
Ir (0.6667, 0.3333, 0.5000) (multiplicity 1)

Calculated values
energy of formation from the pure elements	-0.45	eV/atom
relative energy among the computed polymorphs	0.134	eV/atom


Record 3
## Mo3Pb (PBE)

Data for crystalline Mo3Pb at its relaxed geometry.

Unit cell a=5.433 b=9.067 c=5.798 alpha=90.00 beta=90.00 gamma=90.00
Space group Pnma (No. 62)
Inequivalent atoms, fractional coordinates:
Mo (0.033, 0.250, 0.086) (multiplicity 4)
Mo (0.221, 0.509, 0.834) (multiplicity 8)
Pb (0.033, 0.250, 0.581) (multiplicity 4)

Calculated values
energy of formation from the pure elements	0.63	eV/atom


Record 4
## Tm2ZrAg (PBE)

Data for crystalline Tm2ZrAg at its relaxed geometry.

Unit cell a=3.2106 b=3.2106 c=33.8952 alpha=90.00 beta=90.00 gamma=120.00
Space group R-3m (No. 166, hexagonal axes)
Inequivalent atoms, fractional coordinates:
Tm (0.0000, 0.0000, 0.0927) (multiplicity 6)
Zr (0.0000, 0.0000, 0.0000) (multiplicity 3)
Ag (0.0000, 0.0000, 0.5000) (multiplicity 3)

Calculated values
energy of formation from the pure elements	0.26	eV/atom
relative energy among the computed polymorphs	0.405	eV/atom


Record 5
## Mg8Tl5Hg (PBE)

Data for crystalline Mg8Tl5Hg at its relaxed geometry.

Unit cell a=8.689 b=8.689 c=9.247 alpha=90.00 beta=90.00 gamma=90.00
Space group I-4 (No. 82)
Inequivalent atoms, fractional coordinates:
Mg (0.078, 0.169, 0.255) (multiplicity 8)
Mg (0.078, 0.316, 0.908) (multiplicity 8)
Tl (0.000, 0.500, 0.250) (multiplicity 2)
Tl (0.118, 0.235, 0.579) (multiplicity 8)
Hg (0.000, 0.000, 0.000) (multiplicity 2)

Calculated values
energy of formation from the pure elements	-0.03	eV/atom


Record 6
## BaAlIn2 (PBE)

Data for crystalline BaAlIn2 at its relaxed geometry.

Unit cell a=5.422 b=5.422 c=19.391 alpha=90.00 beta=90.00 gamma=90.00
Space group I-42d (No. 122)
Inequivalent atoms, fractional coordinates:
Ba (0.000, 0.000, 0.000) (multiplicity 4)
Al (0.000, 0.000, 0.500) (multiplicity 4)
In (0.095, 0.250, 0.625) (multiplicity 8)

Calculated values
energy of formation from the pure elements	-0.07	eV/atom


Here are the calculated size of the total moment numbers, same order: 0.000; 0.000; 0.000; 0.000; 0.000; 0.000 (μB per atom).